DFT (PBE) results for an optimized crystal structure of Li3AcHg9.

Output
* ΔH_f (0 K): -0.271 eV/atom
* space group: No. 12
* VASP energy: -1.237 eV/atom
* magnetization: 0.00 μB per formula unit

Structure (POSCAR):
```
Li3AcHg9
1.0
1.2237 -5.6504 0.5446
5.5880 -1.8040 -4.4331
5.4432 -1.2536 5.7229
Ac Hg Li
1 9 3
direct
0.0000 0.0000 0.0000
0.5320 0.2165 0.7783
0.0358 0.3248 0.6430
0.3103 0.2165 0.2217
0.6897 0.7835 0.7783
0.9642 0.6752 0.3570
0.6788 0.3248 0.3570
0.3212 0.6752 0.6430
0.4680 0.7835 0.2217
0.0000 0.5000 0.0000
0.0000 0.0000 0.5000
0.5000 0.5000 0.0000
0.5000 0.0000 0.5000
```